Entry 1:
Sc2TiMnAu: optimized geometry, PBE.

Results
N(E_F)   9.36 states/eV per cell
Energy of formation   873 meV per atom

```
data_Sc2TiMnAu
_cell_length_a 5.068
_cell_length_b 5.068
_cell_length_c 4.719
_cell_angle_alpha 90.00
_cell_angle_beta 90.00
_cell_angle_gamma 90.00
_space_group_name_H-M_alt 'P 4/m m m'
_space_group_IT_number 123
_space_group_name_Hall '-P 4 2'
loop_
_atom_site_label
_atom_site_fract_x
_atom_site_fract_y
_atom_site_fract_z
Sc1 0.000 0.500 0.000
Ti1 0.000 0.000 0.500
Mn1 0.500 0.500 0.500
Au1 0.500 0.500 0.000
```

Entry 2:
ScMnZnAu: optimized geometry, PBE.

Results
N(E_F)   12.42 states/eV per cell
Energy of formation   -295 meV per atom

```
data_ScMnZnAu
_cell_length_a 6.526
_cell_length_b 6.526
_cell_length_c 6.526
_cell_angle_alpha 90.00
_cell_angle_beta 90.00
_cell_angle_gamma 90.00
_space_group_name_H-M_alt 'F -4 3 m'
_space_group_IT_number 216
_space_group_name_Hall 'F -4 2 3'
loop_
_atom_site_label
_atom_site_fract_x
_atom_site_fract_y
_atom_site_fract_z
Sc1 0.000 0.000 0.000
Mn1 0.000 0.000 0.500
Zn1 0.250 0.250 0.750
Au1 0.250 0.250 0.250
```

Entry 3:
ZrScMn2Au: optimized geometry, PBE.

Results
N(E_F)   5.39 states/eV per cell
Energy of formation   732 meV per atom

```
data_ZrScMn2Au
_cell_length_a 4.924
_cell_length_b 4.924
_cell_length_c 5.159
_cell_angle_alpha 90.00
_cell_angle_beta 90.00
_cell_angle_gamma 90.00
_space_group_name_H-M_alt 'P 4/m m m'
_space_group_IT_number 123
_space_group_name_Hall '-P 4 2'
loop_
_atom_site_label
_atom_site_fract_x
_atom_site_fract_y
_atom_site_fract_z
Zr1 0.000 0.000 0.000
Sc1 0.500 0.500 0.000
Mn1 0.000 0.500 0.500
Au1 0.000 0.000 0.500
```

Entry 4:
MnAuSe: optimized geometry, PBE.

Results
N(E_F)   4.09 states/eV per cell
Relative energy among the computed polymorphs   70.3 meV per atom
E_form (uncorrected)   -0.016 eV/atom

```
data_MnAuSe
_cell_length_a 8.058
_cell_length_b 4.310
_cell_length_c 8.617
_cell_angle_alpha 90.00
_cell_angle_beta 105.40
_cell_angle_gamma 90.00
_space_group_name_H-M_alt 'C 1 2/m 1'
_space_group_IT_number 12
_space_group_name_Hall '-C 2y'
loop_
_atom_site_label
_atom_site_fract_x
_atom_site_fract_y
_atom_site_fract_z
Mn1 0.205 0.000 0.158
Au1 0.150 0.000 0.446
Se1 0.121 0.000 0.837
```

Entry 5:
MnAuSe3: optimized geometry, PBE.

Results
N(E_F)   7.44 states/eV per cell
Relative energy among the computed polymorphs   0.0 meV per atom
E_form (uncorrected)   0.509 eV/atom

```
data_MnAuSe3
_cell_length_a 4.693
_cell_length_b 4.693
_cell_length_c 4.693
_cell_angle_alpha 90.00
_cell_angle_beta 90.00
_cell_angle_gamma 90.00
_space_group_name_H-M_alt 'P m -3 m'
_space_group_IT_number 221
_space_group_name_Hall '-P 4 2 3'
loop_
_atom_site_label
_atom_site_fract_x
_atom_site_fract_y
_atom_site_fract_z
Mn1 0.000 0.000 0.000
Au1 0.500 0.500 0.500
Se1 0.000 0.000 0.500
```

Entry 6:
MnAuSe: optimized geometry, PBE.

Results
N(E_F)   2.40 states/eV per cell
Relative energy among the computed polymorphs   65.3 meV per atom
E_form (uncorrected)   -0.021 eV/atom

```
data_MnAuSe
_cell_length_a 6.268
_cell_length_b 6.268
_cell_length_c 6.268
_cell_angle_alpha 90.00
_cell_angle_beta 90.00
_cell_angle_gamma 90.00
_space_group_name_H-M_alt 'F -4 3 m'
_space_group_IT_number 216
_space_group_name_Hall 'F -4 2 3'
loop_
_atom_site_label
_atom_site_fract_x
_atom_site_fract_y
_atom_site_fract_z
Mn1 0.000 0.000 0.000
Au1 0.250 0.250 0.750
Se1 0.250 0.250 0.250
```